! Pm3MoCl2O6, relaxed, DFT GGA+U; values from VASP
! * calculated total energy: -6.923 eV per atom
&SYSTEM
  ibrav = 0, nat = 12, ntyp = 4
/
ATOMIC_SPECIES
O 16.00 O.upf
Pm 145.00 Pm.upf
Cl 35.45 Cl.upf
Mo 95.94 Mo.upf
CELL_PARAMETERS angstrom
5.5409 0.0000 0.7303
0.0000 6.7368 0.0000
0.2280 -3.3684 5.8807
ATOMIC_POSITIONS crystal
O 0.3329 0.1593 0.3186
O 0.3004 0.1787 0.8818
O 0.3004 0.7031 0.8818
O 0.6996 0.2969 0.1182
O 0.6671 0.8407 0.6814
O 0.6996 0.8213 0.1182
Pm 0.5000 0.0000 0.5000
Pm 0.5000 0.5000 0.5000
Pm 0.0000 0.5000 0.0000
Cl 0.8642 0.2882 0.5765
Cl 0.1358 0.7118 0.4235
Mo 0.5000 0.0000 0.0000